Arrangement 1

DFT (GGA-PBE) results for crystalline Hf3BMo at its relaxed geometry.

## Properties
Fermi-level density of states = 1.65 states/eV/atom
size of the total moment = 0.00 μB/cell

Structure (CIF):
```
data_Hf3BMo
_chemical_formula_sum 'Hf3 B1 Mo1'
_cell_length_a 4.9498
_cell_length_b 4.9498
_cell_length_c 4.9498
_cell_angle_alpha 90.00
_cell_angle_beta 90.00
_cell_angle_gamma 90.00
_space_group_name_H-M_alt 'P m -3 m'
_space_group_IT_number 221
_space_group_name_Hall '-P 4 2 3'
loop_
_atom_site_label
_atom_site_type_symbol
_atom_site_fract_x
_atom_site_fract_y
_atom_site_fract_z
Hf1 Hf 0.0000 0.0000 0.5000
B1 B 0.5000 0.5000 0.5000
Mo1 Mo 0.0000 0.0000 0.0000
```



Arrangement 2

DFT (GGA-PBE) results for crystalline Hf3BMo at its relaxed geometry.

## Properties
Fermi-level density of states = 1.15 states/eV/atom
size of the total moment = 0.00 μB/cell

Structure (CIF):
```
data_Hf3BMo
_chemical_formula_sum 'Hf3 B1 Mo1'
_cell_length_a 4.5337
_cell_length_b 4.5337
_cell_length_c 4.5337
_cell_angle_alpha 90.00
_cell_angle_beta 90.00
_cell_angle_gamma 90.00
_space_group_name_H-M_alt 'P m -3 m'
_space_group_IT_number 221
_space_group_name_Hall '-P 4 2 3'
loop_
_atom_site_label
_atom_site_type_symbol
_atom_site_fract_x
_atom_site_fract_y
_atom_site_fract_z
Hf1 Hf 0.0000 0.0000 0.5000
B1 B 0.0000 0.0000 0.0000
Mo1 Mo 0.5000 0.5000 0.5000
```



arrangement 2 is preferred energetically. Next in line: 1533 meV per atom higher.